1.
# SiPd2N

A relaxed SiPd2N crystal (GGA-PBE, Alexandria).

Computed properties:
Space-group type: I-42d, No. 122
Energy relative to the elements, uncorrected in eV/atom: 0.395
E above lowest polymorph in meV/atom: 0
D(E_F) in states/eV per cell: 4.00
Final energy in eV for the cell shown: -45.10

Cell lengths 4.7141, 4.7141, 6.6653 Å; angles 69.29, 69.29, 90.00 degrees
Fractional positions:
Si  0.0000  0.0000  0.0000
Si  0.7500  0.2500  0.5000
Pd  0.5505  0.1250  0.2500
Pd  0.1995  0.6250  0.2500
Pd  0.3750  0.4495  0.7500
Pd  0.8750  0.8005  0.7500
N  0.5000  0.5000  0.0000
N  0.2500  0.7500  0.5000



2.
# Al13Tl3S21

A relaxed Al13Tl3S21 crystal (GGA-PBE, Alexandria).

Computed properties:
Space-group type: Cm, No. 8
Energy relative to the elements, uncorrected in eV/atom: -1.021
D(E_F) in states/eV per cell: 0.00
Final energy in eV for the cell shown: -360.40

Cell lengths 9.3881, 14.8688, 14.8688 Å; angles 61.38, 78.28, 78.28 degrees
Fractional positions:
Al  0.6979  0.6430  0.1802
Al  0.6979  0.1802  0.6430
Al  0.0346  0.7156  0.2234
Al  0.0346  0.2234  0.7156
Al  0.0510  0.4674  0.2092
Al  0.0510  0.2092  0.4674
Al  0.3701  0.1030  0.8600
Al  0.3701  0.8600  0.1030
Al  0.7151  0.4060  0.1513
Al  0.7151  0.1513  0.4060
Al  0.7120  0.4057  0.4057
Al  0.3669  0.0997  0.6000
Al  0.3669  0.6000  0.0997
Al  0.0370  0.9473  0.4832
Al  0.0370  0.4832  0.9473
Al  0.0433  0.7138  0.7138
Al  0.7133  0.1544  0.9045
Al  0.7133  0.9045  0.1544
Al  0.7035  0.9065  0.4140
Al  0.7035  0.4140  0.9065
Al  0.3699  0.8498  0.3474
Al  0.3699  0.3474  0.8498
Al  0.3786  0.8532  0.5988
Al  0.3786  0.5988  0.8532
Al  0.0637  0.7100  0.4604
Al  0.0637  0.4604  0.7100
Tl  0.5902  0.8190  0.8190
Tl  0.0468  0.8890  0.8890
Tl  0.2740  0.4477  0.4477
Tl  0.6068  0.5839  0.5839
Tl  0.3926  0.1738  0.1738
Tl  0.9635  0.1081  0.1081
S  0.2939  0.1929  0.9489
S  0.2939  0.9489  0.1929
S  0.9581  0.8810  0.6487
S  0.9581  0.6487  0.8810
S  0.9646  0.3825  0.3825
S  0.6254  0.5780  0.0855
S  0.6254  0.0855  0.5780
S  0.9510  0.6363  0.1433
S  0.9510  0.1433  0.6363
S  0.3081  0.6919  0.4437
S  0.3081  0.4437  0.6919
S  0.2891  0.1858  0.6991
S  0.2891  0.6991  0.1858
S  0.2914  0.4460  0.2033
S  0.2914  0.2033  0.4460
S  0.6365  0.3253  0.3253
S  0.3127  0.9383  0.6938
S  0.3127  0.6938  0.9383
S  0.3209  0.9396  0.9396
S  0.9600  0.8824  0.3914
S  0.9600  0.3914  0.8824
S  0.9681  0.3947  0.1253
S  0.9681  0.1253  0.3947
S  0.9574  0.1285  0.8818
S  0.9574  0.8818  0.1285
S  0.2972  0.6918  0.6918
S  0.2881  0.4408  0.9439
S  0.2881  0.9439  0.4408
S  0.6262  0.3278  0.8338
S  0.6262  0.8338  0.3278
S  0.9761  0.6302  0.3928
S  0.9761  0.3928  0.6302
S  0.9686  0.6335  0.6335
S  0.6145  0.5689  0.3443
S  0.6145  0.3443  0.5689
S  0.6495  0.3250  0.0777
S  0.6495  0.0777  0.3250
S  0.6252  0.0885  0.8170
S  0.6252  0.8170  0.0885
S  0.6210  0.8122  0.5779
S  0.6210  0.5779  0.8122
S  0.6483  0.0757  0.0757



3.
# TiAg2Hg

A relaxed TiAg2Hg crystal (GGA-PBE, Alexandria).

Computed properties:
Space-group type: P4/mmm, No. 123
D(E_F) in states/eV per cell: 2.75
Formation energy from the elements in meV per atom: 111
Final energy in eV for the cell shown: -13.45

Cell lengths 3.4177, 3.4177, 6.4140 Å; angles 90.00, 90.00, 90.00 degrees
Fractional positions:
Hg  0.5000  0.5000  0.5000
Ag  0.0000  0.0000  0.7684
Ag  0.0000  0.0000  0.2316
Ti  0.5000  0.5000  0.0000



4.
# TaMnIrRh

A relaxed TaMnIrRh crystal (GGA-PBE, Alexandria).

Computed properties:
Space-group type: F-43m, No. 216
E above lowest polymorph in meV/atom: 48
D(E_F) in states/eV per cell: 2.84
Formation energy from the elements in meV per atom: -390
Final energy in eV for the cell shown: -38.79

Cell lengths 4.4274, 4.4274, 4.4274 Å; angles 60.00, 60.00, 60.00 degrees
Fractional positions:
Ir  0.7500  0.7500  0.7500
Rh  0.2500  0.2500  0.2500
Mn  0.5000  0.5000  0.5000
Ta  0.0000  0.0000  0.0000



Among the records above, which one has the lowest D(E_F)?
Al13Tl3S21



Which formula does entry 3 have?
TiAg2Hg



What is the final energy in the third record?
-13.45 eV for the cell shown